A plane-wave DFT calculation with PBE was carried out for a geometry-optimized Ge3AsRu structure.

abc: 4.8736 4.8736 4.8736
angles: 90.00 90.00 90.00
Last column: nearest neighbours and their distance in Å.
Space group Pm-3m (No. 221)
Symmetry-distinct sites (fractional):
Ge  0.0000  0.0000  0.5000  2 As 2.44
As  0.0000  0.0000  0.0000  6 Ge 2.44
Ru  0.5000  0.5000  0.5000  12 Ge 3.45

Calculated values
**Crystal system**: cubic
**ΔE_f**: 1.31 eV per atom
**DOS at the Fermi energy**: 0.8396 states/eV/atom

A plane-wave DFT calculation with PBE was carried out for a geometry-optimized BaGa2Pb2 structure.

abc: 8.6867 8.6867 3.8539
angles: 90.00 90.00 90.00
Last column: nearest neighbours and their distance in Å.
Space group P4/mbm (No. 127)
Symmetry-distinct sites (fractional):
Ba  0.0000  0.0000  0.0000  4 Ga 3.47, 8 Pb 3.78, 2 Ba 3.85
Ga  0.1189  0.3811  0.0000  1 Ga 2.92, 4 Pb 3.14
Pb  0.1636  0.6636  0.5000  6 Ga 3.14-3.29

Calculated values
**Crystal system**: tetragonal
**ΔE_f**: -0.20 eV per atom
**DOS at the Fermi energy**: 0.6251 states/eV/atom

A plane-wave DFT calculation with PBE was carried out for a geometry-optimized LaZnS2 structure.

abc: 6.1410 6.1410 11.4368
angles: 90.00 90.00 90.00
Last column: nearest neighbours and their distance in Å.
Space group I-42d (No. 122)
Symmetry-distinct sites (fractional):
La  0.0000  0.0000  0.0000  4 S 2.82
Zn  0.0000  0.0000  0.5000  4 S 2.41
S  0.1924  0.2500  0.6250  2 Zn 2.41

Calculated values
**ΔE_f (raw)**: -1.086 eV per atom
**Crystal system**: tetragonal
**DOS at the Fermi energy**: 0.8662 states/eV/atom

A plane-wave DFT calculation with PBE was carried out for a geometry-optimized TaCrCoB2 structure.

abc: 4.1886 4.1886 4.4417
angles: 90.00 90.00 90.00
Last column: nearest neighbours and their distance in Å.
Space group P4/mmm (No. 123)
Symmetry-distinct sites (fractional):
Ta  0.0000  0.0000  0.0000  4 B 2.09, 2 Cr 2.22
Cr  0.0000  0.0000  0.5000  2 Ta 2.22
Co  0.5000  0.5000  0.5000  4 Cr 2.96, 8 B 3.05
B  0.0000  0.5000  0.0000  2 Ta 2.09

Calculated values
**Crystal system**: tetragonal
**ΔE_f**: 2.11 eV per atom
**DOS at the Fermi energy**: 1.7115 states/eV/atom